--- A ---
Pr2ErPt PBE optimized geometry; DOS at the Fermi energy = 1.10 states/eV per atom
1.0
-4.888 -0.362 -1.435
-1.830 -2.072 -2.321
-1.448 -5.921 6.436
Er Pr Pt
1 2 1
Cartesian
-4.901 -7.210 2.576
-6.897 -5.569 -0.121
-3.997 -3.531 -1.420
-6.128 -2.419 -3.547

***

--- B ---
Pr2ErPt PBE optimized geometry; DOS at the Fermi energy = 1.58 states/eV per atom
1.0
-1.225 -1.781 3.039
2.957 -2.269 -0.138
4.285 5.289 4.827
Pr Pt Er
2 1 1
Cartesian
0.873 1.078 0.984
3.412 4.211 3.843
0.866 -2.025 1.451
3.008 0.619 3.864

***

Looking at the structures above, A is most stable, and the difference to the next one is 11.3 kJ/mol of atoms.